[1]
{"formula": "ScSnSe2N", "functional": "PBE", "state": "relaxed", "lattice": [[5.313, 0.000, 0.000], [0.000, 5.313, 0.000], [0.000, 0.000, 3.944]], "species": ["Sc", "Sn", "Se", "Se", "N"], "fractional_positions": [[0.000, 0.000, 0.000], [0.500, 0.500, 0.500], [0.000, 0.500, 0.500], [0.500, 0.000, 0.500], [0.500, 0.500, 0.000]], "dos_ef_per_ev_fu": 4.42, "vol_a3_per_atom": 22.3, "de_polymorph_ev_per_atom": 0.402, "energy_ev_per_cell": -24.61, "m_tot_mub_per_fu": 0.00, "e_form_raw_kj_per_mol_fu": 99}

=====

[2]
{"formula": "CsCo", "functional": "PBE", "state": "relaxed", "lattice": [[-6.741, 6.741, 1.988], [6.741, -6.741, 1.988], [6.741, 6.741, -1.988]], "species": ["Cs", "Cs", "Cs", "Cs", "Co", "Co", "Co", "Co"], "fractional_positions": [[0.000, 0.251, 0.251], [0.000, 0.749, 0.749], [0.251, 0.000, 0.251], [0.749, 0.000, 0.749], [0.275, 0.275, 0.549], [0.275, 0.725, 0.000], [0.725, 0.275, 0.000], [0.725, 0.725, 0.451]], "dos_ef_per_ev_fu": 2.90, "vol_a3_per_atom": 45.2, "de_polymorph_ev_per_atom": 0.214, "energy_ev_per_cell": -24.60, "m_tot_mub_per_fu": 1.56}

=====

Please write out number 2 again, unchanged.
{"formula": "CsCo", "functional": "PBE", "state": "relaxed", "lattice": [[-6.741, 6.741, 1.988], [6.741, -6.741, 1.988], [6.741, 6.741, -1.988]], "species": ["Cs", "Cs", "Cs", "Cs", "Co", "Co", "Co", "Co"], "fractional_positions": [[0.000, 0.251, 0.251], [0.000, 0.749, 0.749], [0.251, 0.000, 0.251], [0.749, 0.000, 0.749], [0.275, 0.275, 0.549], [0.275, 0.725, 0.000], [0.725, 0.275, 0.000], [0.725, 0.725, 0.451]], "dos_ef_per_ev_fu": 2.90, "vol_a3_per_atom": 45.2, "de_polymorph_ev_per_atom": 0.214, "energy_ev_per_cell": -24.60, "m_tot_mub_per_fu": 1.56}